This record from Alexandria via LeMat-Bulk describes a relaxed B2RuI2 crystal. The functional is PBE-GGA.

Output
E_form (uncorrected) in eV/f.u.: 6.92
DOS(E_F) in states/eV/f.u.: 3.2
Excess energy over the best structure of this formula in the dataset in kJ/mol of formula units: 15
Volume in Å³/atom: 19.5
Space group: No. 127

Cell lengths 6.355, 6.355, 4.821 Å; angles 90.00, 90.00, 90.00 degrees
Positions (direct):
B 0.237 0.263 0.000
B 0.263 0.763 0.000
B 0.737 0.237 0.000
B 0.763 0.737 0.000
Ru 0.000 0.000 0.000
Ru 0.500 0.500 0.000
I 0.201 0.299 0.500
I 0.299 0.799 0.500
I 0.701 0.201 0.500
I 0.799 0.701 0.500



This record from Alexandria via LeMat-Bulk describes a relaxed Rb2BaTlCl6 crystal. The functional is PBE-GGA.

Output
E_form (uncorrected) in eV/f.u.: -16.65
DOS(E_F) in states/eV/f.u.: 9.0
Volume in Å³/atom: 39.3
Space group: No. 139

Cell lengths 8.220, 8.220, 8.220 Å; angles 119.98, 119.98, 90.04 degrees
Positions (direct):
Rb 0.250 0.750 0.500
Rb 0.750 0.250 0.500
Ba 0.000 0.000 0.000
Tl 0.500 0.500 0.000
Cl 0.257 0.257 0.000
Cl 0.257 0.257 0.515
Cl 0.257 0.743 0.000
Cl 0.743 0.257 0.000
Cl 0.743 0.743 0.000
Cl 0.743 0.743 0.485



Q: Number 2 is which compound?
A: Rb2BaTlCl6



Q: DOS(E_F) of number 2 (Rb2BaTlCl6)?
A: 9.0 states/eV/f.u.



Q: Which value of DOS(E_F) does entry 2 give?
A: 9.0 states/eV/f.u.